No. 1
This record from Alexandria via LeMat-Bulk describes a relaxed NbCrBi2Cl crystal. The functional is GGA-PBE.

```
NbCrBi2Cl
1.0
5.456 0.000 0.000
0.000 4.363 0.000
0.000 0.000 5.456
Cr Nb Bi Cl
1 1 2 1
direct
0.000 0.000 0.000 Cr
0.500 0.500 0.500 Nb
0.000 0.000 0.500 Bi
0.500 0.000 0.000 Bi
0.000 0.500 0.000 Cl
```

Results
The calculation puts the uncorrected energy at -25.84 eV for the cell shown. The total moment is 1.03 μB per atom.

No. 2
This record from Alexandria via LeMat-Bulk describes a relaxed Th2HgPd crystal. The functional is GGA-PBE.

```
Th2HgPd
1.0
3.641 0.000 0.000
0.000 3.641 0.000
0.000 0.000 7.832
Pd Hg Th
1 1 2
direct
0.500 0.500 0.000 Pd
0.500 0.500 0.500 Hg
0.000 0.000 0.774 Th
0.000 0.000 0.226 Th
```

Results
The calculation puts the calculated formation energy at -0.418 eV/atom. For the energy above the most stable polymorph in this dataset, the calculation gives 13 meV per atom. The total moment is 0.00 μB per atom.

No. 3
This record from Alexandria via LeMat-Bulk describes a relaxed BiSbTe2W crystal. The functional is GGA-PBE.

```
BiSbTe2W
1.0
-2.199 -4.227 2.240
-0.961 -2.025 -4.764
4.800 -2.457 0.076
Sb Te Bi W
1 2 1 1
direct
0.000 0.000 0.500 Sb
0.000 0.500 0.000 Te
0.500 0.000 0.000 Te
0.500 0.500 0.500 Bi
0.000 0.000 0.000 W
```

Results
For the energy above the most stable polymorph in this dataset, the calculation gives 0 meV per atom. The total moment is 0.00 μB per atom.

No. 4
This record from Alexandria via LeMat-Bulk describes a relaxed TlInBr2 crystal. The functional is GGA-PBE.

```
TlInBr2
1.0
-1.238 -6.954 2.985
6.526 0.550 3.989
-0.859 -0.291 8.816
Tl Br In
2 4 2
direct
0.000 0.000 0.000 Tl
0.750 0.250 0.500 Tl
0.620 0.125 0.250 Br
0.130 0.625 0.250 Br
0.375 0.380 0.750 Br
0.875 0.870 0.750 Br
0.500 0.500 0.000 In
0.250 0.750 0.500 In
```

Results
For the energy above the most stable polymorph in this dataset, the calculation gives 73 meV per atom. The total moment is 0.00 μB per atom.